<A>
The following is a DFT calculation (PBE-GGA) of a relaxed structure of Mg2TaRh.

abc: 4.5669 2.8780 5.4438
angles: 74.21 90.00 90.00
Closest atoms and distances in Å follow each position.
Positions (direct):
Mg (0.0000, 0.0743, 0.0152)  5 Mg 2.72-2.99, 2 Rh 2.73, 2 Ta 2.98
Mg (0.0000, 0.4257, 0.4848)  5 Mg 2.72-2.99, 2 Rh 2.73, 2 Ta 2.98
Ta (0.5000, 0.7500, 0.7500)  2 Rh 2.71, 2 Ta 2.88, 4 Mg 2.98
Rh (0.5000, 0.2500, 0.2500)  2 Ta 2.71, 4 Mg 2.73, 2 Rh 2.88

<B>
The following is a DFT calculation (PBE-GGA) of a relaxed structure of Mg2TaRh.

abc: 3.1397 3.1397 7.3008
angles: 90.00 90.00 90.00
Closest atoms and distances in Å follow each position.
Positions (direct):
Mg (0.0000, 0.0000, 0.9870)  4 Ta 2.97, 8 Mg 3.09-3.14
Mg (0.5000, 0.5000, 0.2820)  4 Rh 2.79, 4 Mg 3.09
Ta (0.5000, 0.5000, 0.7175)  4 Rh 2.67, 4 Mg 2.97
Rh (0.0000, 0.0000, 0.5134)  4 Ta 2.67, 4 Mg 2.79

Which one sits at the top of the stability order? <B> does.